Entry w
The following is a PBE calculation of SrY2Au after structural relaxation, from Alexandria.

a = 7.339 Å, b = 7.339 Å, c = 7.339 Å
α = 38.60°, β = 38.60°, γ = 38.60°
Element x y z (fractional)
Sr 0.000 0.000 0.000
Y 0.215 0.215 0.215
Y 0.448 0.448 0.448
Au 0.830 0.830 0.830

Its density of states at the Fermi level is 4.1 states/eV/cell. The value obtained for the spin magnetization is 0.00 μB per atom.



Entry x
The following is a PBE calculation of SrY2Au after structural relaxation, from Alexandria.

a = 6.497 Å, b = 6.497 Å, c = 6.497 Å
α = 138.34°, β = 138.34°, γ = 60.39°
Element x y z (fractional)
Sr 0.000 0.000 0.000
Y 0.250 0.750 0.500
Y 0.750 0.250 0.500
Au 0.500 0.500 0.000

Its density of states at the Fermi level is 6.3 states/eV/cell. The value obtained for the spin magnetization is 0.00 μB per atom.



Entry y
The following is a PBE calculation of SrY2Au after structural relaxation, from Alexandria.

a = 4.069 Å, b = 5.358 Å, c = 5.403 Å
α = 90.00°, β = 90.00°, γ = 90.00°
Element x y z (fractional)
Sr 0.000 0.000 0.000
Y 0.000 0.500 0.500
Y 0.500 0.000 0.500
Au 0.500 0.500 0.000

Its density of states at the Fermi level is 3.9 states/eV/cell. The value obtained for the spin magnetization is 0.00 μB per atom.



Entry z
The following is a PBE calculation of SrY2Au after structural relaxation, from Alexandria.

a = 10.535 Å, b = 10.535 Å, c = 10.535 Å
α = 21.85°, β = 21.85°, γ = 21.85°
Element x y z (fractional)
Sr 0.000 0.000 0.000
Y 0.225 0.225 0.225
Y 0.775 0.775 0.775
Au 0.500 0.500 0.500

Its density of states at the Fermi level is 5.5 states/eV/cell. The value obtained for the spin magnetization is 0.00 μB per atom.



Which of them is most stable? Easy: entry z.